# 1
# HgGeIrO6, relaxed, DFT GGA-PBE
# - Fermi-level density of states: 5.432 states/eV/f.u.
# - Uncorrected formation energy: -0.823 eV per atom
data_HgGeIrO6
_chemical_formula_sum 'Hg1 Ge1 Ir1 O6'
_space_group_name_H-M_alt 'P 3 1 2'
_space_group_IT_number 149
_cell_length_a 5.1700
_cell_length_b 5.1700
_cell_length_c 4.8970
_cell_angle_alpha 90.00
_cell_angle_beta 90.00
_cell_angle_gamma 120.00
loop_
_space_group_symop_operation_xyz
'x,y,z'
'-y,x-y,z'
'-x+y,-x,z'
'-y,-x,-z'
'-x+y,y,-z'
'x,x-y,-z'
loop_
_atom_site_label
_atom_site_type_symbol
_atom_site_fract_x
_atom_site_fract_y
_atom_site_fract_z
Hg1 Hg 0.0000 0.0000 0.0000
Ge1 Ge 0.6667 0.3333 0.5000
Ir1 Ir 0.3333 0.6667 0.5000
O1 O 0.3794 0.0028 0.7171

---

# 2
# Pm2HgGe4Ir3, relaxed, DFT GGA-PBE
# - Fermi-level density of states: 4.603 states/eV/f.u.
# - Formation energy from the elements: -0.58 eV per atom
data_Pm2HgGe4Ir3
_chemical_formula_sum 'Pm2 Hg1 Ge4 Ir3'
_space_group_name_H-M_alt 'P -4 m 2'
_space_group_IT_number 115
_cell_length_a 4.3556
_cell_length_b 4.3556
_cell_length_c 10.2969
_cell_angle_alpha 90.00
_cell_angle_beta 90.00
_cell_angle_gamma 90.00
loop_
_space_group_symop_operation_xyz
'x,y,z'
'y,-x,-z'
'-x,-y,z'
'-y,x,-z'
'-x,y,z'
'-y,-x,-z'
'x,-y,z'
'y,x,-z'
loop_
_atom_site_label
_atom_site_type_symbol
_atom_site_fract_x
_atom_site_fract_y
_atom_site_fract_z
Pm1 Pm 0.0000 0.5000 0.2341
Hg1 Hg 0.0000 0.0000 0.5000
Ge1 Ge 0.0000 0.0000 0.0000
Ge2 Ge 0.0000 0.5000 0.6469
Ge3 Ge 0.5000 0.5000 0.0000
Ir1 Ir 0.0000 0.5000 0.8810
Ir2 Ir 0.5000 0.5000 0.5000

---

# 3
# RbHg2GeIr, relaxed, DFT GGA-PBE
# - Offset from the most stable computed form: 0.000 eV per atom
# - Fermi-level density of states: 1.095 states/eV/f.u.
# - Formation energy from the elements: -0.16 eV per atom
data_RbHg2GeIr
_chemical_formula_sum 'Rb1 Hg2 Ge1 Ir1'
_space_group_name_H-M_alt 'P 4/m m m'
_space_group_IT_number 123
_space_group_name_Hall '-P 4 2'
_cell_length_a 5.4408
_cell_length_b 5.4408
_cell_length_c 4.7241
_cell_angle_alpha 90.00
_cell_angle_beta 90.00
_cell_angle_gamma 90.00
loop_
_atom_site_label
_atom_site_type_symbol
_atom_site_fract_x
_atom_site_fract_y
_atom_site_fract_z
Rb1 Rb 0.0000 0.0000 0.0000
Hg1 Hg 0.0000 0.5000 0.5000
Ge1 Ge 0.5000 0.5000 0.0000
Ir1 Ir 0.5000 0.5000 0.5000